1.
VASP calculation (PBE) on a relaxed YSn2Hg crystal.

The space group is F-43m (No. 216) and the conventional cell measures 7.532, 7.532 and 7.532 Å, with angles of 90.00, 90.00 and 90.00 degrees. The asymmetric unit holds Y at (0.000, 0.000, 0.000), Sn at (0.000, 0.000, 0.500), Sn at (0.250, 0.250, 0.250) and Hg at (0.250, 0.250, 0.750).

The energy comes out at -3.920 eV per atom.



2.
VASP calculation (PBE) on a relaxed YSnHg crystal.

The space group is F-43m (No. 216) and the conventional cell measures 6.958, 6.958 and 6.958 Å, with angles of 90.00, 90.00 and 90.00 degrees. The asymmetric unit holds Y at (0.000, 0.000, 0.000), Sn at (0.000, 0.000, 0.500) and Hg at (0.250, 0.250, 0.750).

The energy comes out at -3.937 eV per atom.



3.
VASP calculation (PBE) on a relaxed Zn2SnHg crystal.

The space group is F-43m (No. 216) and the conventional cell measures 7.011, 7.011 and 7.011 Å, with angles of 90.00, 90.00 and 90.00 degrees. The asymmetric unit holds Zn at (0.000, 0.000, 0.000), Zn at (0.250, 0.250, 0.250), Sn at (0.000, 0.000, 0.500) and Hg at (0.250, 0.250, 0.750).

The energy comes out at -1.505 eV per atom.



4.
VASP calculation (PBE) on a relaxed ZrSnHg crystal.

The space group is F-43m (No. 216) and the conventional cell measures 6.760, 6.760 and 6.760 Å, with angles of 90.00, 90.00 and 90.00 degrees. The asymmetric unit holds Zr at (0.000, 0.000, 0.000), Sn at (0.000, 0.000, 0.500) and Hg at (0.250, 0.250, 0.750).

The energy comes out at -4.047 eV per atom. For the polymorph energy (0 for the lowest one), the calculation gives 0 meV/atom.



5.
VASP calculation (PBE) on a relaxed Zr2SnHg crystal.

The space group is F-43m (No. 216) and the conventional cell measures 7.178, 7.178 and 7.178 Å, with angles of 90.00, 90.00 and 90.00 degrees. The asymmetric unit holds Zr at (0.000, 0.000, 0.000), Zr at (0.250, 0.250, 0.250), Sn at (0.000, 0.000, 0.500) and Hg at (0.250, 0.250, 0.750).

The energy comes out at -5.134 eV per atom.



6.
VASP calculation (PBE) on a relaxed ZrSnHg2 crystal.

The space group is F-43m (No. 216) and the conventional cell measures 7.214, 7.214 and 7.214 Å, with angles of 90.00, 90.00 and 90.00 degrees. The asymmetric unit holds Zr at (0.000, 0.000, 0.000), Sn at (0.250, 0.250, 0.750), Hg at (0.000, 0.000, 0.500) and Hg at (0.250, 0.250, 0.250).

The energy comes out at -3.142 eV per atom.



7.
VASP calculation (PBE) on a relaxed SrHg crystal.

The space group is Pm-3m (No. 221) and the conventional cell measures 3.969, 3.969 and 3.969 Å, with angles of 90.00, 90.00 and 90.00 degrees. The asymmetric unit holds Sr at (0.000, 0.000, 0.000) and Hg at (0.500, 0.500, 0.500).

The energy comes out at -1.524 eV per atom.



8.
VASP calculation (PBE) on a relaxed SrHg2 crystal.

The space group is Fd-3m (No. 227, origin choice 2) and the conventional cell measures 8.688, 8.688 and 8.688 Å, with angles of 90.00, 90.00 and 90.00 degrees. The asymmetric unit holds Sr at (0.125, 0.125, 0.125) and Hg at (0.000, 0.000, 0.500).

The energy comes out at -1.109 eV per atom.



9.
VASP calculation (PBE) on a relaxed SrHg8 crystal.

The space group is I4/mmm (No. 139) and the conventional cell measures 10.085, 10.085 and 4.800 Å, with angles of 90.00, 90.00 and 90.00 degrees. The asymmetric unit holds Sr at (0.000, 0.000, 0.000), Hg at (0.000, 0.339, 0.000) and Hg at (0.171, 0.171, 0.500).

The energy comes out at -0.653 eV per atom.



10.
VASP calculation (PBE) on a relaxed Sr2Hg3 crystal.

The space group is P4/mbm (No. 127) and the conventional cell measures 8.915, 8.915 and 4.220 Å, with angles of 90.00, 90.00 and 90.00 degrees. The asymmetric unit holds Sr at (0.163, 0.337, 0.000), Hg at (0.000, 0.000, 0.000) and Hg at (0.132, 0.632, 0.500).

The energy comes out at -1.236 eV per atom.



11.
VASP calculation (PBE) on a relaxed SrHg2 crystal.

The space group is P6/mmm (No. 191) and the conventional cell measures 5.0198, 5.0198 and 3.8932 Å, with angles of 90.00, 90.00 and 120.00 degrees. The asymmetric unit holds Sr at (0.0000, 0.0000, 0.0000) and Hg at (0.3333, 0.6667, 0.5000).

The energy comes out at -1.239 eV per atom.



12.
VASP calculation (PBE) on a relaxed SrHg2 crystal.

The space group is Fd-3m (No. 227, origin choice 2) and the conventional cell measures 15.202, 15.202 and 15.202 Å, with angles of 90.00, 90.00 and 90.00 degrees. The asymmetric unit holds Sr at (0.125, 0.125, 0.125) and Hg at (0.000, 0.000, 0.000).

The energy comes out at -0.391 eV per atom.



13.
VASP calculation (PBE) on a relaxed SrHg crystal.

The space group is Fm-3m (No. 225) and the conventional cell measures 6.657, 6.657 and 6.657 Å, with angles of 90.00, 90.00 and 90.00 degrees. The asymmetric unit holds Sr at (0.000, 0.000, 0.000) and Hg at (0.000, 0.000, 0.500).

The energy comes out at -1.426 eV per atom.



14.
VASP calculation (PBE) on a relaxed SrTbHg6 crystal.

The space group is P-6m2 (No. 187) and the conventional cell measures 6.6888, 6.6888 and 5.0910 Å, with angles of 90.00, 90.00 and 120.00 degrees. The asymmetric unit holds Sr at (0.0000, 0.0000, 0.0000), Tb at (0.3333, 0.6667, 0.5000), Hg at (0.0005, 0.5003, 0.0000) and Hg at (0.3474, 0.1737, 0.5000).

The energy comes out at -1.369 eV per atom.



15.
VASP calculation (PBE) on a relaxed SrHgTe2 crystal.

The space group is F-43m (No. 216) and the conventional cell measures 7.928, 7.928 and 7.928 Å, with angles of 90.00, 90.00 and 90.00 degrees. The asymmetric unit holds Sr at (0.000, 0.000, 0.000), Hg at (0.250, 0.250, 0.250), Te at (0.000, 0.000, 0.500) and Te at (0.250, 0.250, 0.750).

The energy comes out at -2.590 eV per atom.



16.
VASP calculation (PBE) on a relaxed SrThHg crystal.

The space group is F-43m (No. 216) and the conventional cell measures 7.572, 7.572 and 7.572 Å, with angles of 90.00, 90.00 and 90.00 degrees. The asymmetric unit holds Sr at (0.000, 0.000, 0.000), Th at (0.000, 0.000, 0.500) and Hg at (0.250, 0.250, 0.250).

The energy comes out at -2.948 eV per atom. For the polymorph energy (0 for the lowest one), the calculation gives 0 meV/atom.



17.
VASP calculation (PBE) on a relaxed SrTlHg crystal.

The space group is F-43m (No. 216) and the conventional cell measures 7.602, 7.602 and 7.602 Å, with angles of 90.00, 90.00 and 90.00 degrees. The asymmetric unit holds Sr at (0.000, 0.000, 0.000), Tl at (0.250, 0.250, 0.250) and Hg at (0.250, 0.250, 0.750).

The energy comes out at -1.500 eV per atom. For the polymorph energy (0 for the lowest one), the calculation gives 366 meV/atom.



18.
VASP calculation (PBE) on a relaxed SrTl2Hg crystal.

The space group is F-43m (No. 216) and the conventional cell measures 7.691, 7.691 and 7.691 Å, with angles of 90.00, 90.00 and 90.00 degrees. The asymmetric unit holds Sr at (0.000, 0.000, 0.000), Tl at (0.000, 0.000, 0.500), Tl at (0.250, 0.250, 0.750) and Hg at (0.250, 0.250, 0.250).

The energy comes out at -1.966 eV per atom.



19.
VASP calculation (PBE) on a relaxed SrTlHg crystal.

The space group is C2/m (No. 12) and the conventional cell measures 11.899, 5.081 and 8.011 Å, with angles of 90.00, 131.20 and 90.00 degrees. The asymmetric unit holds Sr at (0.038, 0.000, 0.293), Tl at (0.166, 0.500, 0.109) and Hg at (0.162, 0.500, 0.696).

The energy comes out at -1.866 eV per atom. For the polymorph energy (0 for the lowest one), the calculation gives 0 meV/atom.



20.
VASP calculation (PBE) on a relaxed SrTl2Hg2 crystal.

The space group is I4/mmm (No. 139) and the conventional cell measures 4.810, 4.810 and 13.269 Å, with angles of 90.00, 90.00 and 90.00 degrees. The asymmetric unit holds Sr at (0.000, 0.000, 0.000), Tl at (0.000, 0.500, 0.250) and Hg at (0.000, 0.000, 0.394).

The energy comes out at -1.642 eV per atom. For the polymorph energy (0 for the lowest one), the calculation gives 0 meV/atom.



21.
VASP calculation (PBE) on a relaxed SrTlHg crystal.

The space group is F-43m (No. 216) and the conventional cell measures 7.416, 7.416 and 7.416 Å, with angles of 90.00, 90.00 and 90.00 degrees. The asymmetric unit holds Sr at (0.000, 0.000, 0.000), Tl at (0.000, 0.000, 0.500) and Hg at (0.250, 0.250, 0.250).

The energy comes out at -1.772 eV per atom. For the polymorph energy (0 for the lowest one), the calculation gives 94 meV/atom.



22.
VASP calculation (PBE) on a relaxed Sr2TmHg4 crystal.

The space group is Cmmm (No. 65) and the conventional cell measures 8.048, 12.865 and 4.061 Å, with angles of 90.00, 90.00 and 90.00 degrees. The asymmetric unit holds Sr at (0.250, 0.250, 0.000), Tm at (0.000, 0.000, 0.500), Hg at (0.000, 0.375, 0.500) and Hg at (0.224, 0.500, 0.000).

The energy comes out at -1.583 eV per atom.



23.
VASP calculation (PBE) on a relaxed SrUHg crystal.

The space group is F-43m (No. 216) and the conventional cell measures 7.528, 7.528 and 7.528 Å, with angles of 90.00, 90.00 and 90.00 degrees. The asymmetric unit holds Sr at (0.000, 0.000, 0.000), U at (0.000, 0.000, 0.500) and Hg at (0.250, 0.250, 0.250).

The energy comes out at -3.702 eV per atom. For the polymorph energy (0 for the lowest one), the calculation gives 0 meV/atom.



24.
VASP calculation (PBE) on a relaxed Sr2YHg2 crystal.

The space group is I4/mmm (No. 139) and the conventional cell measures 4.728, 4.728 and 16.072 Å, with angles of 90.00, 90.00 and 90.00 degrees. The asymmetric unit holds Sr at (0.000, 0.000, 0.114), Y at (0.000, 0.000, 0.500) and Hg at (0.000, 0.500, 0.250).

The energy comes out at -2.066 eV per atom. For the polymorph energy (0 for the lowest one), the calculation gives 354 meV/atom.



25.
VASP calculation (PBE) on a relaxed Sr2YHg2 crystal.

The space group is P4/mbm (No. 127) and the conventional cell measures 8.541, 8.541 and 4.543 Å, with angles of 90.00, 90.00 and 90.00 degrees. The asymmetric unit holds Sr at (0.161, 0.339, 0.000), Y at (0.000, 0.000, 0.500) and Hg at (0.142, 0.642, 0.500).

The energy comes out at -2.420 eV per atom. For the polymorph energy (0 for the lowest one), the calculation gives 0 meV/atom.



26.
VASP calculation (PBE) on a relaxed SrY2Hg2 crystal.

The space group is P4/mbm (No. 127) and the conventional cell measures 8.770, 8.770 and 3.822 Å, with angles of 90.00, 90.00 and 90.00 degrees. The asymmetric unit holds Sr at (0.000, 0.000, 0.000), Y at (0.159, 0.341, 0.500) and Hg at (0.135, 0.635, 0.000).

The energy comes out at -3.389 eV per atom.



27.
VASP calculation (PBE) on a relaxed SrYHg6 crystal.

The space group is P-6m2 (No. 187) and the conventional cell measures 6.6831, 6.6831 and 5.0921 Å, with angles of 90.00, 90.00 and 120.00 degrees. The asymmetric unit holds Sr at (0.0000, 0.0000, 0.0000), Y at (0.3333, 0.6667, 0.5000), Hg at (0.0002, 0.5001, 0.0000) and Hg at (0.3472, 0.1736, 0.5000).

The energy comes out at -1.599 eV per atom.



28.
VASP calculation (PBE) on a relaxed Sr2ZnHg crystal.

The space group is F-43m (No. 216) and the conventional cell measures 7.604, 7.604 and 7.604 Å, with angles of 90.00, 90.00 and 90.00 degrees. The asymmetric unit holds Sr at (0.000, 0.000, 0.000), Sr at (0.250, 0.250, 0.250), Zn at (0.250, 0.250, 0.750) and Hg at (0.000, 0.000, 0.500).

The energy comes out at -1.351 eV per atom.